# 1
The following is a DFT calculation (GGA-PBE) of a geometry-optimized Dy4Hf6O19 structure.

a = 8.0848 Å, b = 8.0848 Å, c = 8.0848 Å
α = 109.47°, β = 109.47°, γ = 109.47°
With the nearest neighbours (Å) after each atom.
Sites, in units of the cell vectors:
Dy 0.0000 0.0000 0.7093  4 O 2.22-2.35
Dy 0.0000 0.7093 0.0000  4 O 2.22-2.35
Dy 0.2907 0.2907 0.2907  4 O 2.22-2.35
Dy 0.7093 0.0000 0.0000  4 O 2.22-2.35
Hf 0.1711 0.6711 0.5000  6 O 2.08-2.09
Hf 0.3289 0.5000 0.8289  6 O 2.08-2.09
Hf 0.5000 0.1711 0.6711  6 O 2.08-2.09
Hf 0.5000 0.8289 0.3289  6 O 2.08-2.09
Hf 0.6711 0.5000 0.1711  6 O 2.08-2.09
Hf 0.8289 0.3289 0.5000  6 O 2.08-2.09
O 0.0000 0.0000 0.0000  4 Dy 2.35
O 0.0000 0.3550 0.3550  2 Hf 2.09
O 0.0000 0.6450 0.6450  2 Hf 2.09
O 0.0290 0.2645 0.6685  2 Hf 2.08-2.09, 1 Dy 2.22
O 0.2354 0.9710 0.6395  2 Hf 2.08-2.09, 1 Dy 2.22
O 0.2645 0.6685 0.0290  2 Hf 2.08-2.09, 1 Dy 2.22
O 0.3315 0.5960 0.3605  2 Hf 2.08-2.09, 1 Dy 2.22
O 0.3550 0.0000 0.3550  2 Hf 2.09
O 0.3550 0.3550 0.0000  2 Hf 2.09
O 0.3605 0.3315 0.5960  2 Hf 2.08-2.09, 1 Dy 2.22
O 0.4040 0.7355 0.7646  2 Hf 2.08-2.09, 1 Dy 2.22
O 0.5960 0.3605 0.3315  2 Hf 2.08-2.09, 1 Dy 2.22
O 0.6395 0.2354 0.9710  2 Hf 2.08-2.09, 1 Dy 2.22
O 0.6450 0.0000 0.6450  2 Hf 2.09
O 0.6450 0.6450 0.0000  2 Hf 2.09
O 0.6685 0.0290 0.2645  2 Hf 2.08-2.09, 1 Dy 2.22
O 0.7355 0.7646 0.4040  2 Hf 2.08-2.09, 1 Dy 2.22
O 0.7646 0.4040 0.7355  2 Hf 2.08-2.09, 1 Dy 2.22
O 0.9710 0.6395 0.2354  2 Hf 2.08-2.09, 1 Dy 2.22

Output
Calculated density, g/cm3: 8.27
SG: I23 (197)
V, A^3/atom: 14.03
VASP energy, eV per atom: -9.199

# 2
The following is a DFT calculation (GGA-PBE) of a geometry-optimized NaLiMg structure.

a = 3.2706 Å, b = 3.2706 Å, c = 8.2524 Å
α = 90.00°, β = 90.00°, γ = 120.00°
With the nearest neighbours (Å) after each atom.
Sites, in units of the cell vectors:
Na 0.0000 0.0000 0.0000  6 Na 3.27, 3 Li 3.43, 3 Mg 3.51
Li 0.3333 0.6667 0.6533  3 Mg 3.08, 6 Li 3.27, 3 Na 3.43
Mg 0.6667 0.3333 0.3584  3 Li 3.08, 6 Mg 3.27

Output
Calculated density, g/cm3: 1.18
Energy relative to the lowest polymorph listed for this composition, meV per atom: 28.4
SG: P3m1 (156)
V, A^3/atom: 25.48
VASP energy, eV per atom: -1.546
ΔE_f, eV per atom: 0.063